Li2FeCoO4 | SCAN | single point on PBEsol structure

- ΔE_f (raw): -1.771 eV/atom
- Excess energy over the best structure of this formula in the dataset: 0.92 eV per formula unit
- VASP energy: -158.61 eV for the cell shown

```
data_Li2FeCoO4
_space_group_name_H-M_alt 'I -4 m 2'
_space_group_IT_number 119
_space_group_name_Hall 'I -4 -2'
_cell_length_a 3.9635
_cell_length_b 3.9635
_cell_length_c 8.1765
_cell_angle_alpha 90.00
_cell_angle_beta 90.00
_cell_angle_gamma 90.00
loop_
_atom_site_label
_atom_site_fract_x
_atom_site_fract_y
_atom_site_fract_z
Li1 0.0000 0.0000 0.0000
Li2 0.0000 0.5000 0.2500
Fe1 0.0000 0.5000 0.7500
Co1 0.0000 0.0000 0.5000
O1 0.0000 0.0000 0.2667
O2 0.0000 0.5000 0.5205
```